[1]
{"formula": "Pm3DyEr2Bi6", "functional": "PBE-GGA", "state": "optimized geometry", "lattice_angstrom": [[9.841, -2.260, 0.000], [9.841, 2.260, 0.000], [-2.053, 0.000, 8.796]], "species": ["Pm", "Pm", "Pm", "Dy", "Er", "Er", "Bi", "Bi", "Bi", "Bi", "Bi", "Bi"], "fractional_positions": [[0.000, 0.000, 0.000], [0.334, 0.334, 0.667], [0.666, 0.666, 0.333], [0.000, 0.000, 0.500], [0.333, 0.333, 0.167], [0.667, 0.667, 0.833], [0.165, 0.165, 0.589], [0.169, 0.169, 0.078], [0.498, 0.498, 0.254], [0.502, 0.502, 0.746], [0.831, 0.831, 0.922], [0.835, 0.835, 0.411]], "e_tot_ev_per_atom": -5.155, "formation_energy_ev_per_atom": -0.88}



[2]
{"formula": "Hf2Be16Pt", "functional": "PBE-GGA", "state": "optimized geometry", "lattice_angstrom": [[3.808, 2.199, 3.700], [-3.808, 2.199, 3.700], [0.000, -4.397, 3.700]], "species": ["Hf", "Hf", "Be", "Be", "Be", "Be", "Be", "Be", "Be", "Be", "Be", "Be", "Be", "Be", "Be", "Be", "Be", "Be", "Pt"], "fractional_positions": [[0.000, 0.000, 0.000], [0.314, 0.314, 0.314], [0.000, 0.000, 0.493], [0.000, 0.493, 0.000], [0.160, 0.652, 0.652], [0.311, 0.311, 0.814], [0.311, 0.814, 0.311], [0.366, 0.657, 0.945], [0.366, 0.945, 0.657], [0.493, 0.000, 0.000], [0.546, 0.546, 0.546], [0.652, 0.160, 0.652], [0.652, 0.652, 0.160], [0.657, 0.366, 0.945], [0.657, 0.945, 0.366], [0.814, 0.311, 0.311], [0.945, 0.366, 0.657], [0.945, 0.657, 0.366], [0.751, 0.751, 0.751]], "e_tot_ev_per_atom": -4.816, "formation_energy_ev_per_atom": -0.31}



[3]
{"formula": "ZrPaPb", "functional": "PBE-GGA", "state": "optimized geometry", "lattice_angstrom": [[-1.936, 1.936, 5.204], [1.936, -1.936, 5.204], [1.936, 1.936, -5.204]], "species": ["Zr", "Pa", "Pb"], "fractional_positions": [[0.000, 0.000, 0.000], [0.691, 0.691, 0.000], [0.368, 0.368, 0.000]], "e_tot_ev_per_atom": -7.073, "formation_energy_ev_per_atom": 0.18}



[4]
{"formula": "MgPd4Au7", "functional": "PBE-GGA", "state": "optimized geometry", "lattice_angstrom": [[5.190, -2.491, 0.000], [5.190, 2.491, 0.000], [-5.126, 0.000, 8.608]], "species": ["Mg", "Pd", "Pd", "Pd", "Pd", "Au", "Au", "Au", "Au", "Au", "Au", "Au"], "fractional_positions": [[0.000, 0.000, 0.000], [0.274, 0.274, 0.688], [0.421, 0.421, 0.227], [0.579, 0.579, 0.773], [0.726, 0.726, 0.312], [0.042, 0.042, 0.377], [0.202, 0.202, 0.919], [0.344, 0.344, 0.454], [0.500, 0.500, 0.000], [0.656, 0.656, 0.546], [0.798, 0.798, 0.081], [0.958, 0.958, 0.623]], "e_tot_ev_per_atom": -3.789, "formation_energy_ev_per_atom": -0.01}



[5]
{"formula": "Dy2YTh", "functional": "PBE-GGA", "state": "optimized geometry", "lattice_angstrom": [[5.036, 0.000, 0.000], [0.000, 5.036, 0.000], [0.000, 0.000, 5.016]], "species": ["Dy", "Dy", "Y", "Th"], "fractional_positions": [[0.000, 0.500, 0.000], [0.500, 0.000, 0.000], [0.000, 0.000, 0.500], [0.500, 0.500, 0.500]], "e_tot_ev_per_atom": -5.730, "formation_energy_ev_per_atom": 0.04}



[6]
{"formula": "Ca3AuBr", "functional": "PBE-GGA", "state": "optimized geometry", "lattice_angstrom": [[5.738, 0.000, 0.000], [0.000, 5.738, 0.000], [0.000, 0.000, 5.738]], "species": ["Ca", "Ca", "Ca", "Au", "Br"], "fractional_positions": [[0.000, 0.000, 0.500], [0.000, 0.500, 0.000], [0.500, 0.000, 0.000], [0.000, 0.000, 0.000], [0.500, 0.500, 0.500]], "e_tot_ev_per_atom": -2.821, "raw_formation_energy_ev_per_atom": -0.630}



[7]
{"formula": "PmY2Ho12", "functional": "PBE-GGA", "state": "optimized geometry", "lattice_angstrom": [[3.557, 0.000, 0.000], [0.000, 5.553, 0.000], [-1.758, 0.000, 24.173]], "species": ["Pm", "Y", "Y", "Ho", "Ho", "Ho", "Ho", "Ho", "Ho", "Ho", "Ho", "Ho", "Ho", "Ho", "Ho"], "fractional_positions": [[0.000, 0.000, 0.000], [0.365, 0.000, 0.728], [0.635, 0.000, 0.272], [0.069, 0.000, 0.138], [0.099, 0.500, 0.202], [0.166, 0.500, 0.331], [0.216, 0.000, 0.426], [0.275, 0.500, 0.555], [0.463, 0.500, 0.925], [0.537, 0.500, 0.075], [0.725, 0.500, 0.445], [0.784, 0.000, 0.574], [0.834, 0.500, 0.669], [0.901, 0.500, 0.798], [0.931, 0.000, 0.862]], "e_tot_ev_per_atom": -4.731, "formation_energy_ev_per_atom": 0.11}



[8]
{"formula": "Ac2NpUO8", "functional": "PBE-GGA", "state": "optimized geometry", "lattice_angstrom": [[4.033, 0.000, 0.000], [0.499, 5.744, 0.000], [0.063, 0.477, 7.905]], "species": ["Ac", "Ac", "Np", "U", "O", "O", "O", "O", "O", "O", "O", "O"], "fractional_positions": [[0.002, 0.004, 0.251], [0.998, 0.996, 0.749], [0.500, 0.500, 0.000], [0.500, 0.500, 0.500], [0.059, 0.719, 0.513], [0.061, 0.723, 0.015], [0.459, 0.276, 0.720], [0.462, 0.282, 0.239], [0.538, 0.718, 0.761], [0.541, 0.724, 0.280], [0.939, 0.277, 0.985], [0.941, 0.281, 0.487]], "e_tot_ev_per_atom": -9.267, "raw_formation_energy_ev_per_atom": -3.258}



[9]
{"formula": "Bi2AsPd3", "functional": "PBE-GGA", "state": "optimized geometry", "lattice_angstrom": [[5.980, -3.656, 0.000], [5.980, 3.656, 0.000], [0.000, 0.000, 5.814]], "species": ["Bi", "Bi", "Bi", "Bi", "As", "As", "Pd", "Pd", "Pd", "Pd", "Pd", "Pd"], "fractional_positions": [[0.019, 0.346, 0.000], [0.346, 0.019, 0.500], [0.654, 0.981, 0.000], [0.981, 0.654, 0.500], [0.296, 0.704, 0.979], [0.704, 0.296, 0.479], [0.009, 0.991, 0.242], [0.367, 0.381, 0.241], [0.381, 0.367, 0.741], [0.619, 0.633, 0.241], [0.633, 0.619, 0.741], [0.991, 0.009, 0.742]], "e_tot_ev_per_atom": -4.980, "formation_energy_ev_per_atom": -0.31}



[10]
{"formula": "Rb2BeF5", "functional": "PBE-GGA", "state": "optimized geometry", "lattice_angstrom": [[0.000, 4.256, 4.184], [4.254, 0.000, 4.184], [4.254, 4.256, 0.000]], "species": ["Rb", "Rb", "Be", "F", "F", "F", "F", "F"], "fractional_positions": [[0.000, 0.000, 0.500], [0.500, 0.500, 0.000], [0.208, 0.208, 0.792], [0.024, 0.024, 0.976], [0.072, 0.456, 0.544], [0.074, 0.456, 0.926], [0.456, 0.072, 0.928], [0.456, 0.074, 0.544]], "e_tot_ev_per_atom": -4.450, "raw_formation_energy_ev_per_atom": -2.572}



[11]
{"formula": "MgAg2AsO4", "functional": "PBE-GGA", "state": "optimized geometry", "lattice_angstrom": [[-2.633, 2.633, 4.331], [2.633, -2.633, 4.331], [2.633, 2.633, -4.331]], "species": ["Mg", "Ag", "Ag", "As", "O", "O", "O", "O"], "fractional_positions": [[0.000, 0.000, 0.000], [0.250, 0.750, 0.500], [0.500, 0.500, 0.000], [0.750, 0.250, 0.500], [0.014, 0.139, 0.420], [0.405, 0.986, 0.125], [0.720, 0.595, 0.580], [0.861, 0.280, 0.875]], "e_tot_ev_per_atom": -5.073, "raw_formation_energy_ev_per_atom": -1.100}



[12]
{"formula": "La5SmIn6", "functional": "PBE-GGA", "state": "optimized geometry", "lattice_angstrom": [[4.808, -8.363, 0.000], [4.808, 8.363, 0.000], [-3.217, 0.000, 4.541]], "species": ["La", "La", "La", "La", "La", "Sm", "In", "In", "In", "In", "In", "In"], "fractional_positions": [[0.000, 0.000, 0.000], [0.164, 0.836, 0.500], [0.328, 0.672, 0.000], [0.672, 0.328, 0.000], [0.836, 0.164, 0.500], [0.500, 0.500, 0.500], [0.094, 0.421, 0.257], [0.264, 0.264, 0.764], [0.421, 0.094, 0.257], [0.579, 0.906, 0.743], [0.736, 0.736, 0.236], [0.906, 0.579, 0.743]], "e_tot_ev_per_atom": -4.326, "formation_energy_ev_per_atom": -0.51}